# PBE-GGA BaTl2HgBi2, relaxed
data_BaTl2HgBi2
_symmetry_space_group_name_H-M 'P 1'
_symmetry_Int_Tables_number 1
_symmetry_space_group_name_Hall 'P 1'
_cell_length_a 7.834
_cell_length_b 7.834
_cell_length_c 7.834
_cell_angle_alpha 132.49
_cell_angle_beta 132.49
_cell_angle_gamma 69.46
loop_
_atom_site_label
_atom_site_type_symbol
_atom_site_fract_x
_atom_site_fract_y
_atom_site_fract_z
Ba1 Ba 0.000 0.000 0.000
Tl1 Tl 0.250 0.750 0.500
Tl2 Tl 0.750 0.250 0.500
Hg1 Hg 0.500 0.500 0.000
Bi1 Bi 0.283 0.283 0.000
Bi2 Bi 0.717 0.717 0.000
# Magnetization, μB/atom: 0.000
# Final energy, eV/cell: -14.52
# Calculated formation energy, eV per atom: 0.033

---

# PBE-GGA ZrTlPO2, relaxed
data_ZrTlPO2
_symmetry_space_group_name_H-M 'P 1'
_symmetry_Int_Tables_number 1
_symmetry_space_group_name_Hall 'P 1'
_cell_length_a 4.090
_cell_length_b 4.090
_cell_length_c 5.651
_cell_angle_alpha 90.00
_cell_angle_beta 90.00
_cell_angle_gamma 90.00
loop_
_atom_site_label
_atom_site_type_symbol
_atom_site_fract_x
_atom_site_fract_y
_atom_site_fract_z
Zr1 Zr 0.000 0.000 0.000
Tl1 Tl 0.500 0.500 0.500
P1 P 0.000 0.000 0.500
O1 O 0.000 0.500 0.000
O2 O 0.500 0.000 0.000
# ΔE_f (raw), kJ/mol of atoms: -137.61
# Magnetization, μB/atom: 0.000
# Excess energy over the best structure of this formula in the dataset, meV per atom: 0.0
# Final energy, eV/cell: -33.37

---

# PBE-GGA HfAlSe4, relaxed
data_HfAlSe4
_symmetry_space_group_name_H-M 'P 1'
_symmetry_Int_Tables_number 1
_symmetry_space_group_name_Hall 'P 1'
_cell_length_a 6.340
_cell_length_b 3.670
_cell_length_c 6.488
_cell_angle_alpha 90.00
_cell_angle_beta 96.34
_cell_angle_gamma 90.00
loop_
_atom_site_label
_atom_site_type_symbol
_atom_site_fract_x
_atom_site_fract_y
_atom_site_fract_z
Hf1 Hf 0.000 0.000 0.000
Al1 Al 0.000 0.500 0.500
Se1 Se 0.232 0.000 0.679
Se2 Se 0.253 0.500 0.192
Se3 Se 0.747 0.500 0.808
Se4 Se 0.768 0.000 0.321
# ΔE_f (raw), kJ/mol of atoms: -86.73
# Magnetization, μB/atom: 0.000
# Final energy, eV/cell: -33.03

---

What is the final energy in the first record? -14.52 eV/cell

---

Which value of magnetization does entry 1 give? 0.000 μB/atom